Here is a crystal of KTl4 relaxed with PBEsol from Alexandria. Energies are from SCAN.

Calculated values
Space group ... I4/m (87)

abc: 5.166 5.951 5.951
angles: 79.14 64.28 64.28
Positions (direct):
Tl 0.199 0.366 0.236
K 0.000 0.000 0.000
Tl 0.565 0.236 0.634
Tl 0.801 0.634 0.764
Tl 0.435 0.764 0.366

Here is a crystal of KTl relaxed with PBEsol from Alexandria. Energies are from SCAN.

Calculated values
Space group ... Pmma (51)

abc: 3.665 5.495 6.912
angles: 90.00 90.00 90.00
Positions (direct):
Tl 0.500 0.750 0.120
K 0.000 0.250 0.328
Tl 0.500 0.250 0.880
K 0.000 0.750 0.672

Here is a crystal of KTl7 relaxed with PBEsol from Alexandria. Energies are from SCAN.

Calculated values
Space group ... Fm-3m (225)

abc: 6.873 6.873 6.873
angles: 60.00 60.00 60.00
Positions (direct):
Tl 0.500 0.500 0.500
Tl 0.500 0.500 0.000
Tl 0.500 0.000 0.500
Tl 0.500 0.000 0.000
K 0.000 0.000 0.000
Tl 0.000 0.000 0.500
Tl 0.000 0.500 0.000
Tl 0.000 0.500 0.500

Here is a crystal of KTl relaxed with PBEsol from Alexandria. Energies are from SCAN.

Calculated values
Space group ... Cm (8)

abc: 4.188 6.975 8.331
angles: 108.90 90.00 107.47
Positions (direct):
Tl 0.953 0.905 0.422
K 0.654 0.309 0.760
K 0.947 0.894 0.941
K 0.636 0.272 0.307
Tl 0.337 0.674 0.579
Tl 0.306 0.612 0.157

Here is a crystal of KTl5 relaxed with PBEsol from Alexandria. Energies are from SCAN.

Calculated values
Energy above the lowest structure with this stoichiometry ... 3 meV/atom
Space group ... P-62m (189)

abc: 5.451 6.114 6.114
angles: 120.00 90.00 90.00
Positions (direct):
Tl 0.500 0.333 0.667
Tl 0.500 0.667 0.333
Tl 0.000 0.000 0.641
Tl 0.000 0.641 0.000
Tl 0.000 0.359 0.359
K 0.500 0.000 0.000

Here is a crystal of KTl5 relaxed with PBEsol from Alexandria. Energies are from SCAN.

Calculated values
Energy above the lowest structure with this stoichiometry ... 47 meV/atom
Space group ... P6/mmm (191)

abc: 5.320 6.503 6.503
angles: 120.00 90.00 90.00
Positions (direct):
Tl 0.000 0.667 0.333
Tl 0.500 0.500 0.500
Tl 0.500 0.500 0.000
K 0.000 0.000 0.000
Tl 0.000 0.333 0.667
Tl 0.500 0.000 0.500

Here is a crystal of K4Tl3 relaxed with PBEsol from Alexandria. Energies are from SCAN.

Calculated values
Space group ... P6/mmm (191)

abc: 6.762 6.762 6.895
angles: 90.00 90.00 120.00
Positions (direct):
Tl 0.500 0.500 0.000
Tl 0.000 0.500 0.000
K 0.000 0.000 0.234
K 0.000 0.000 0.766
K 0.333 0.667 0.500
K 0.667 0.333 0.500
Tl 0.500 0.000 0.000

Here is a crystal of KTl5 relaxed with PBEsol from Alexandria. Energies are from SCAN.

Calculated values
Energy above the lowest structure with this stoichiometry ... 0 meV/atom
Space group ... Cmmm (65)

abc: 4.947 4.911 7.557
angles: 90.00 109.11 90.00
Positions (direct):
Tl 0.826 0.000 0.653
Tl 0.174 0.000 0.347
Tl 0.673 0.500 0.345
K 0.500 0.000 0.000
Tl 0.000 0.500 0.000
Tl 0.327 0.500 0.655

Here is a crystal of KTl5 relaxed with PBEsol from Alexandria. Energies are from SCAN.

Calculated values
Energy above the lowest structure with this stoichiometry ... 34 meV/atom
Space group ... F-43m (216)

abc: 6.385 6.385 6.385
angles: 60.00 60.00 60.00
Positions (direct):
Tl 0.127 0.624 0.624
Tl 0.250 0.250 0.250
Tl 0.624 0.624 0.624
Tl 0.624 0.127 0.624
Tl 0.624 0.624 0.127
K 0.000 0.000 0.000

Here is a crystal of KTl relaxed with PBEsol from Alexandria. Energies are from SCAN.

Calculated values
Space group ... P6_3/mmc (194)

abc: 5.305 5.305 12.134
angles: 90.00 90.00 120.00
Positions (direct):
Tl 0.333 0.667 0.250
K 0.333 0.667 0.912
Tl 0.000 0.000 0.250
Tl 0.667 0.333 0.750
K 0.667 0.333 0.412
K 0.333 0.667 0.588
Tl 0.000 0.000 0.750
K 0.667 0.333 0.088

Here is a crystal of KTl4 relaxed with PBEsol from Alexandria. Energies are from SCAN.

Calculated values
Space group ... Im-3m (229)

abc: 6.254 6.254 6.254
angles: 109.47 109.47 109.47
Positions (direct):
K 0.000 0.000 0.000
Tl 0.000 0.000 0.500
Tl 0.500 0.500 0.500
Tl 0.000 0.500 0.000
Tl 0.500 0.000 0.000

Here is a crystal of K8Tl relaxed with PBEsol from Alexandria. Energies are from SCAN.

Calculated values
Space group ... I4/mmm (139)

abc: 5.311 10.349 10.349
angles: 86.23 75.13 75.13
Positions (direct):
K 0.645 0.000 0.710
Tl 0.000 0.000 0.000
K 0.000 0.326 0.674
K 0.355 0.000 0.290
K 0.355 0.290 0.000
K 0.674 0.326 0.326
K 0.645 0.710 0.000
K 0.000 0.674 0.326
K 0.326 0.674 0.674

| no. | calculated formation energy (eV per atom) | theoretical density (g/cm³) |
| --- | --- | --- |
| 1 | -0.10 | 9.58 |
| 2 | -0.14 | 5.81 |
| 3 | -0.03 | 10.63 |
| 4 | -0.17 | 5.55 |
| 5 | -0.09 | 9.99 |
| 6 | -0.05 | 9.04 |
| 7 | -0.09 | 4.68 |
| 8 | -0.10 | 10.16 |
| 9 | -0.06 | 9.57 |
| 10 | -0.21 | 5.47 |
| 11 | 0.40 | 7.55 |
| 12 | 0.00 | 1.62 |